No. 1
First-principles (GGA-PBE) data for a geometry-optimized LaTcF3 structure, as listed in Alexandria.

Unit cell a=4.188 b=4.188 c=4.188 alpha=90.00 beta=90.00 gamma=90.00
Fractional coordinates of all 5 atoms:
F (0.000, 0.000, 0.500)
F (0.000, 0.500, 0.000)
F (0.500, 0.000, 0.000)
La (0.500, 0.500, 0.500)
Tc (0.000, 0.000, 0.000)

Calculated values
- uncorrected energy (eV/cell) = -27.866
- formation energy (no corrections) (meV per atom) = -1392
- magnetic moment (μB/f.u.) = 0.00
- mass density (Mg/m³) = 6.6
- energy above the most stable polymorph in this dataset (meV per atom) = 543

***

No. 2
First-principles (GGA-PBE) data for a geometry-optimized LaTcF structure, as listed in Alexandria.

Unit cell a=4.125 b=4.125 c=8.617 alpha=76.15 beta=76.15 gamma=60.00
Fractional coordinates of all 6 atoms:
Tc (0.844, 0.844, 0.468)
F (0.696, 0.696, 0.913)
La (0.592, 0.592, 0.225)
La (0.408, 0.408, 0.775)
F (0.304, 0.304, 0.087)
Tc (0.156, 0.156, 0.532)

Calculated values
- uncorrected energy (eV/cell) = -45.203
- formation energy (no corrections) (meV per atom) = -1812
- magnetic moment (μB/f.u.) = 0.00
- mass density (Mg/m³) = 7.0

***

No. 3
First-principles (GGA-PBE) data for a geometry-optimized LaTcF3 structure, as listed in Alexandria.

Unit cell a=4.750 b=4.750 c=4.750 alpha=90.00 beta=90.00 gamma=90.00
Each line ends with the local moment (μB).
Fractional coordinates of all 5 atoms:
F (0.000, 0.000, 0.500)  0.04
F (0.500, 0.000, 0.000)  0.04
La (0.000, 0.000, 0.000)  0.02
Tc (0.500, 0.500, 0.500)  3.81
F (0.000, 0.500, 0.000)  0.05

Calculated values
- uncorrected energy (eV/cell) = -30.581
- formation energy (no corrections) (meV per atom) = -1935
- magnetic moment (μB/f.u.) = 5.00
- mass density (Mg/m³) = 4.6
- energy above the most stable polymorph in this dataset (meV per atom) = 0

***

No. 4
First-principles (GGA-PBE) data for a geometry-optimized LaTi2TcF structure, as listed in Alexandria.

Unit cell a=4.142 b=5.398 c=4.142 alpha=90.00 beta=90.00 gamma=90.00
Each line ends with the local moment (μB).
Fractional coordinates of all 5 atoms:
Ti (0.500, 0.000, 0.000)  -0.02
Ti (0.000, 0.000, 0.500)  -0.07
La (0.500, 0.500, 0.500)  -0.01
F (0.000, 0.000, 0.000)  0.07
Tc (0.000, 0.500, 0.000)  1.08

Calculated values
- uncorrected energy (eV/cell) = -33.564
- formation energy (no corrections) (meV per atom) = -122
- magnetic moment (μB/f.u.) = 1.14
- mass density (Mg/m³) = 6.3

***

No. 5
First-principles (GGA-PBE) data for a geometry-optimized LaZnTc2F structure, as listed in Alexandria.

Unit cell a=4.338 b=4.780 c=4.338 alpha=90.00 beta=90.00 gamma=90.00
Each line ends with the local moment (μB).
Fractional coordinates of all 5 atoms:
Zn (0.000, 0.500, 0.000)  -0.02
Tc (0.500, 0.000, 0.000)  0.93
Tc (0.000, 0.000, 0.500)  1.05
F (0.000, 0.000, 0.000)  0.01
La (0.500, 0.500, 0.500)  -0.06

Calculated values
- uncorrected energy (eV/cell) = -27.581
- formation energy (no corrections) (meV per atom) = 245
- magnetic moment (μB/f.u.) = 1.99
- mass density (Mg/m³) = 7.7

***

No. 6
First-principles (GGA-PBE) data for a geometry-optimized La2Te2F structure, as listed in Alexandria.

Unit cell a=8.068 b=8.068 c=4.483 alpha=90.00 beta=90.00 gamma=90.00
Fractional coordinates of all 10 atoms:
F (0.000, 0.000, 0.000)
Te (0.148, 0.648, 0.500)
Te (0.648, 0.852, 0.500)
Te (0.352, 0.148, 0.500)
La (0.339, 0.839, 0.000)
Te (0.852, 0.352, 0.500)
F (0.500, 0.500, 0.000)
La (0.161, 0.339, 0.000)
La (0.839, 0.661, 0.000)
La (0.661, 0.161, 0.000)

Calculated values
- uncorrected energy (eV/cell) = -55.832
- formation energy (no corrections) (meV per atom) = -1981
- magnetic moment (μB/f.u.) = 0.00
- mass density (Mg/m³) = 6.3
- energy above the most stable polymorph in this dataset (meV per atom) = 108

***

No. 7
First-principles (GGA-PBE) data for a geometry-optimized LaTeF6 structure, as listed in Alexandria.

Unit cell a=4.599 b=3.762 c=7.720 alpha=75.92 beta=82.03 gamma=65.85
Fractional coordinates of all 8 atoms:
F (0.409, 0.725, 0.142)
F (0.804, 0.804, 0.588)
F (0.217, 0.017, 0.747)
F (0.196, 0.196, 0.412)
F (0.783, 0.983, 0.253)
Te (0.000, 0.000, 0.000)
La (0.500, 0.500, 0.500)
F (0.591, 0.275, 0.858)

Calculated values
- uncorrected energy (eV/cell) = -42.355
- formation energy (no corrections) (meV per atom) = -2882
- magnetic moment (μB/f.u.) = 0.00
- mass density (Mg/m³) = 5.4

***

No. 8
First-principles (GGA-PBE) data for a geometry-optimized La2Te2F structure, as listed in Alexandria.

Unit cell a=4.392 b=4.392 c=17.336 alpha=97.28 beta=97.28 gamma=90.00
Fractional coordinates of all 10 atoms:
Te (0.818, 0.818, 0.637)
F (0.750, 0.250, 0.500)
Te (0.068, 0.568, 0.137)
F (0.500, 0.500, 0.000)
Te (0.432, 0.932, 0.863)
La (0.962, 0.462, 0.924)
La (0.538, 0.038, 0.076)
La (0.288, 0.288, 0.576)
Te (0.182, 0.182, 0.363)
La (0.712, 0.712, 0.424)

Calculated values
- uncorrected energy (eV/cell) = -56.734
- formation energy (no corrections) (meV per atom) = -2071
- magnetic moment (μB/f.u.) = 0.00
- mass density (Mg/m³) = 5.6
- energy above the most stable polymorph in this dataset (meV per atom) = 18

***

No. 9
First-principles (GGA-PBE) data for a geometry-optimized La2TeF structure, as listed in Alexandria.

Unit cell a=5.296 b=5.296 c=5.296 alpha=60.00 beta=60.00 gamma=60.00
Fractional coordinates of all 4 atoms:
F (0.000, 0.000, 0.000)
La (0.250, 0.250, 0.250)
La (0.750, 0.750, 0.750)
Te (0.500, 0.500, 0.500)

Calculated values
- uncorrected energy (eV/cell) = -21.385
- formation energy (no corrections) (meV per atom) = -1629
- magnetic moment (μB/f.u.) = 0.00
- mass density (Mg/m³) = 6.7
- energy above the most stable polymorph in this dataset (meV per atom) = 294

***

No. 10
First-principles (GGA-PBE) data for a geometry-optimized La2TeF structure, as listed in Alexandria.

Unit cell a=7.755 b=7.755 c=6.602 alpha=54.03 beta=54.03 gamma=90.00
Fractional coordinates of all 8 atoms:
F (0.500, 0.500, 0.000)
Te (0.750, 0.250, 0.500)
La (0.375, 0.458, 0.750)
Te (0.000, 0.000, 0.000)
La (0.875, 0.792, 0.750)
La (0.542, 0.125, 0.250)
La (0.208, 0.625, 0.250)
F (0.250, 0.750, 0.500)

Calculated values
- uncorrected energy (eV/cell) = -44.758
- formation energy (no corrections) (meV per atom) = -1878
- magnetic moment (μB/f.u.) = 0.00
- mass density (Mg/m³) = 6.4
- energy above the most stable polymorph in this dataset (meV per atom) = 45

***

No. 11
First-principles (GGA-PBE) data for a geometry-optimized La2TeF structure, as listed in Alexandria.

Unit cell a=4.086 b=4.086 c=7.589 alpha=74.38 beta=74.38 gamma=60.00
Fractional coordinates of all 4 atoms:
F (0.000, 0.000, 0.000)
La (0.267, 0.267, 0.200)
La (0.733, 0.733, 0.800)
Te (0.500, 0.500, 0.500)

Calculated values
- uncorrected energy (eV/cell) = -22.560
- formation energy (no corrections) (meV per atom) = -1923
- magnetic moment (μB/f.u.) = 0.00
- mass density (Mg/m³) = 6.8
- energy above the most stable polymorph in this dataset (meV per atom) = 0

***

No. 12
First-principles (GGA-PBE) data for a geometry-optimized La4Te5F structure, as listed in Alexandria.

Unit cell a=4.343 b=8.045 c=12.169 alpha=124.12 beta=100.28 gamma=90.00
Fractional coordinates of all 10 atoms:
La (0.724, 0.212, 0.448)
La (0.982, 0.187, 0.964)
Te (0.500, 0.500, 0.000)
Te (0.144, 0.316, 0.289)
F (0.500, 0.000, 0.000)
Te (0.161, 0.863, 0.322)
Te (0.856, 0.684, 0.711)
La (0.276, 0.788, 0.552)
Te (0.839, 0.137, 0.678)
La (0.018, 0.813, 0.036)

Calculated values
- uncorrected energy (eV/cell) = -54.430
- formation energy (no corrections) (meV per atom) = -1714
- magnetic moment (μB/f.u.) = 0.00
- mass density (Mg/m³) = 5.9

***

no.,density of states at the Fermi level (states/eV/cell)
1,3.9
2,2.2
3,5.0
4,6.6
5,5.1
6,3.2
7,2.1
8,4.9
9,4.0
10,6.7
11,3.1
12,2.7